# 1
Compound: NdAg
Source: the Alexandria database
Functional: PBEsol
Structure: optimized geometry

Cell and atoms, written as extended XYZ:
```
2
Lattice="3.6818 0.0000 0.0000 0.0000 3.6818 0.0000 0.0000 0.0000 3.6818" Properties=species:S:1:pos:R:3 pbc="T T T"
Nd 0.0000 0.0000 0.0000
Ag 1.8409 1.8409 1.8409
```

As for the formation energy: -0.244 eV/atom.

***

# 2
Compound: NdAg2
Source: the Alexandria database
Functional: PBEsol
Structure: optimized geometry

Cell and atoms, written as extended XYZ:
```
3
Lattice="-2.7550 -1.9491 -0.2238 2.1642 -2.6824 -3.2790 0.4007 -1.0959 4.6118" Properties=species:S:1:pos:R:3 pbc="T T T"
Nd 0.0000 0.0000 0.0000
Ag -0.3890 -2.5993 1.8696
Ag 0.1989 -3.1281 -0.7606
```

As for the formation energy: -0.260 eV/atom.

***

# 3
Compound: NdAg2
Source: the Alexandria database
Functional: PBEsol
Structure: optimized geometry

Cell and atoms, written as extended XYZ:
```
6
Lattice="4.7376 0.0000 0.0000 2.3688 5.3307 0.0076 2.3688 0.8172 5.2677" Properties=species:S:1:pos:R:3 pbc="T T T"
Nd 4.7376 4.4232 1.5122
Nd 4.7376 1.7247 3.7631
Ag 4.7376 1.1970 0.6632
Ag 4.7376 4.9509 4.6121
Ag 7.1064 3.9112 3.7200
Ag 2.3688 2.2367 1.5553
```

As for the formation energy: -0.276 eV/atom.

***

# 4
Compound: NdAgW2O8
Source: the Alexandria database
Functional: PBEsol
Structure: optimized geometry

Cell and atoms, written as extended XYZ:
```
24
Lattice="7.2748 -0.0250 -0.0337 -3.1072 6.7813 -0.0425 -3.1072 -2.0121 6.4761" Properties=species:S:1:pos:R:3 pbc="T T T"
Nd -3.1072 0.6656 4.4911
Nd -3.1072 4.1036 1.9425
Ag -0.5488 3.2992 4.4506
Ag 1.6092 1.4450 1.9493
W 5.7902 0.9871 1.3316
W -4.7298 3.7571 5.0683
W 0.5302 -0.6024 5.4050
W 0.5302 5.3467 0.9949
O 4.1371 -0.0177 2.2009
O -3.0767 4.7620 4.1989
O -3.0767 2.6332 5.7770
O 4.1371 2.1110 0.6229
O 1.8698 0.0233 4.4138
O -0.8094 4.7210 1.9861
O -0.8094 0.5278 5.0945
O 1.8698 4.2165 1.3054
O 1.4560 5.0267 4.4424
O -0.3956 -0.2825 1.9575
O -0.3956 1.9551 0.2988
O 1.4560 2.7892 6.1011
O -1.2649 4.6529 6.2766
O 2.3253 0.0914 0.1233
O 2.7617 2.6285 3.5457
O -1.7013 2.1158 2.8542
```

The calculation puts the uncorrected formation energy at -2217 meV/atom.

***

# 5
Compound: Nd3SiAgS7
Source: the Alexandria database
Functional: PBEsol
Structure: optimized geometry

Cell and atoms, written as extended XYZ:
```
24
Lattice="-0.5568 5.5524 1.1407 -9.0866 0.0204 -4.5346 0.7114 -1.9702 9.9369" Properties=species:S:1:pos:R:3 pbc="T T T"
Nd -5.3360 -0.3221 6.0831
Nd -3.5964 3.9288 0.4607
Nd -2.0212 0.6866 2.7916
Nd -0.7248 -0.1141 7.3213
Nd -8.2076 3.7208 -0.7774
Nd -6.9112 2.9201 3.7522
Si -3.0202 3.3368 6.0671
Si -6.0079 1.2242 0.6728
Ag -0.1157 1.1538 0.2371
Ag -0.3941 3.9300 0.8074
S -2.8142 1.2828 5.6451
S -6.3587 4.7225 1.3916
S -4.4616 4.3077 4.8124
S -4.7299 1.8834 2.2625
S -1.1945 4.4302 5.8109
S -3.6498 3.7177 8.0803
S -5.5417 2.4734 -1.0055
S -7.9971 1.7609 1.2639
S -6.4055 2.3220 6.5473
S -2.5127 1.1429 -0.0326
S -1.8266 3.5687 2.7142
S -0.6637 2.4757 8.6020
S -8.2545 0.9893 -2.0872
S -7.0916 -0.1038 3.8006
```

The calculation puts the uncorrected formation energy at -1564 meV/atom.

***

# 6
Compound: Nd5AgSe8
Source: the Alexandria database
Functional: PBEsol
Structure: optimized geometry

Cell and atoms, written as extended XYZ:
```
14
Lattice="-1.3276 -6.8628 -2.9888 -1.1138 -0.1871 7.5178 -4.7521 5.1068 -3.0219" Properties=species:S:1:pos:R:3 pbc="T T T"
Nd -2.0978 -3.0496 -1.6974
Nd -3.8138 -4.2215 1.9409
Nd -3.5584 -0.1829 2.0263
Nd -4.5063 0.3519 -1.8813
Nd -4.9170 3.5677 0.7445
Ag 0.0000 0.0000 0.0000
Se -1.4614 -2.1615 1.2130
Se -2.2590 -5.5717 -0.1581
Se -4.4524 -2.0764 -0.2295
Se -2.6281 -0.4602 5.0865
Se -2.7212 1.7724 -0.0310
Se -4.9543 1.9894 3.4330
Se -4.0605 -1.9063 -3.9663
Se -6.2370 0.6418 0.6811
```

The calculation puts the uncorrected formation energy at -1708 meV/atom.

***

# 7
Compound: Nd3SiAgSe7
Source: the Alexandria database
Functional: PBEsol
Structure: optimized geometry

Cell and atoms, written as extended XYZ:
```
24
Lattice="5.9716 0.0000 0.0000 0.0000 10.5656 0.0000 0.0000 -5.2828 9.1501" Properties=species:S:1:pos:R:3 pbc="T T T"
Nd 0.1996 5.8292 5.8801
Nd 3.1854 2.7242 7.0419
Nd 3.1854 -2.1778 7.9883
Nd 0.1996 7.4605 1.1618
Nd 0.1996 2.5586 2.1082
Nd 3.1854 -0.5464 3.2699
Si 0.7189 0.0000 6.1000
Si 3.7047 5.2828 3.0500
Ag 5.9172 0.0000 0.0000
Ag 2.9314 0.0000 0.0000
Se 4.6127 4.9457 0.9637
Se 1.6269 0.3371 8.1864
Se 1.6269 1.6383 4.7649
Se 4.6127 7.2582 3.8012
Se 0.1185 -2.9219 8.2684
Se 3.1043 5.6997 6.6646
Se 1.6269 -1.9754 5.3488
Se 4.6127 3.6445 4.3851
Se 4.4324 0.0000 6.1000
Se 1.4466 5.2828 3.0500
Se 3.1043 8.2046 0.8817
Se 0.1185 -0.4169 2.4855
Se 0.1185 3.3387 7.5463
Se 3.1043 1.9440 1.6038
```

The calculation puts the uncorrected formation energy at -1361 meV/atom.

***

# 8
Compound: NdSi2Ag2
Source: the Alexandria database
Functional: PBEsol
Structure: optimized geometry

Cell and atoms, written as extended XYZ:
```
5
Lattice="-0.2616 -0.8656 4.0807 -2.2338 -3.4240 -0.8695 5.7018 -0.6813 -1.9195" Properties=species:S:1:pos:R:3 pbc="T T T"
Si 3.4776 -2.2065 -0.2451
Si -0.2712 -2.7644 1.5367
Nd 0.0000 0.0000 0.0000
Ag 1.1101 -3.1250 -0.5917
Ag 2.0962 -1.8459 1.8834
```

The calculation puts the uncorrected formation energy at -516 meV/atom.

***

# 9
Compound: Nd3Ag4Sn4
Source: the Alexandria database
Functional: PBEsol
Structure: optimized geometry

Cell and atoms, written as extended XYZ:
```
11
Lattice="4.6082 0.0000 0.0000 0.0000 7.2814 0.0000 -2.3041 -3.6407 7.6568" Properties=species:S:1:pos:R:3 pbc="T T T"
Nd 0.0000 3.6407 0.0000
Nd 2.3041 3.6407 5.6757
Nd 0.0000 0.0000 1.9811
Ag 2.3041 2.2248 2.6077
Ag 2.3041 5.0566 2.6077
Ag 0.0000 -1.4159 5.0491
Ag 0.0000 1.4159 5.0491
Sn 2.3041 0.0000 4.3540
Sn 0.0000 3.6407 3.3028
Sn 2.3041 5.8589 0.0000
Sn 2.3041 1.4225 0.0000
```

As for the formation energy: -0.599 eV/atom.

***

# 10
Compound: Nd2TlAg
Source: the Alexandria database
Functional: PBEsol
Structure: optimized geometry

Cell and atoms, written as extended XYZ:
```
4
Lattice="-1.1512 -0.0541 -5.2014 0.4769 -4.5153 -2.7869 -4.3543 -2.5299 -1.7383" Properties=species:S:1:pos:R:3 pbc="T T T"
Tl 0.0000 0.0000 0.0000
Nd -1.2572 -1.7748 -2.4317
Nd -3.7715 -5.3245 -7.2950
Ag -2.5143 -3.5497 -4.8633
```

As for the formation energy: -0.339 eV/atom.

***

# 11
Compound: NdZn2Ag
Source: the Alexandria database
Functional: PBEsol
Structure: optimized geometry

Cell and atoms, written as extended XYZ:
```
4
Lattice="-0.8282 3.7989 2.7117 -4.3147 0.7106 1.8300 -0.7149 -0.5225 4.6569" Properties=species:S:1:pos:R:3 pbc="T T T"
Zn -4.3933 2.9902 6.8990
Zn -1.4644 0.9967 2.2997
Nd -2.9289 1.9935 4.5993
Ag 0.0000 0.0000 0.0000
```

As for the formation energy: -0.291 eV/atom.

***

# 12
Compound: Ni3Ag
Source: the Alexandria database
Functional: PBEsol
Structure: optimized geometry

Cell and atoms, written as extended XYZ:
```
4
Lattice="2.5881 0.0000 0.0000 -1.2940 2.2413 0.0000 0.0000 0.0000 8.3243" Properties=species:S:1:pos:R:3 pbc="T T T"
Ag 0.0000 0.0000 0.0000
Ni 0.0000 0.0000 4.1622
Ni 1.2940 0.7471 6.0661
Ni 1.2940 0.7471 2.2582
```

As for the formation energy: 0.219 eV/atom.

***

# 13
Compound: NiAg
Source: the Alexandria database
Functional: PBEsol
Structure: optimized geometry

Cell and atoms, written as extended XYZ:
```
2
Lattice="-0.5296 -0.6827 2.5343 1.9742 -1.2242 -1.3316 2.8173 3.0185 1.4019" Properties=species:S:1:pos:R:3 pbc="T T T"
Ag 0.0000 0.0000 0.0000
Ni 1.7136 0.6461 1.9466
```

As for the formation energy: 0.292 eV/atom.

***

# 14
Compound: NiAgO2
Source: the Alexandria database
Functional: PBEsol
Structure: optimized geometry

Cell and atoms, written as extended XYZ:
```
8
Lattice="-0.1109 2.1423 -1.9474 0.7609 -2.6706 -0.8261 -11.6687 -2.6339 -2.2333" Properties=species:S:1:pos:R:3 pbc="T T T"
O -6.5776 -0.9874 -2.8669
O -0.4527 -1.2747 -1.3765
O -4.4410 -2.1750 -2.1398
O -10.5660 -1.8876 -3.6302
Ni -5.8344 -1.3170 -1.1166
Ni 0.0000 0.0000 0.0000
Ag -2.4468 -1.7248 -1.7582
Ag -8.5718 -1.4375 -3.2486
```

The calculation puts the uncorrected formation energy at -595 meV/atom.

***

# 15
Compound: NiAgO3
Source: the Alexandria database
Functional: PBEsol
Structure: optimized geometry

Cell and atoms, written as extended XYZ:
```
5
Lattice="-0.0730 -0.9677 -3.7832 0.0506 -3.7837 0.9669 -3.9046 -0.0309 0.0833" Properties=species:S:1:pos:R:3 pbc="T T T"
Ni -1.9635 -2.3912 -1.3665
O 0.0253 -1.8919 0.4834
O -1.9523 -0.0155 0.0416
O -0.0365 -0.4839 -1.8916
Ag 0.0000 0.0000 0.0000
```

The calculation puts the uncorrected formation energy at 778 meV/atom.

***

# 16
Compound: NiAgO2
Source: the Alexandria database
Functional: PBEsol
Structure: optimized geometry

Cell and atoms, written as extended XYZ:
```
4
Lattice="2.8982 0.0000 0.0000 1.4491 2.5099 0.0000 1.4491 0.8366 6.0849" Properties=species:S:1:pos:R:3 pbc="T T T"
Ni 2.8982 1.6733 3.0425
Ag 0.0000 0.0000 0.0000
O 4.3472 2.5099 2.0800
O 1.4491 0.8366 4.0050
```

The calculation puts the uncorrected formation energy at -595 meV/atom.

***

# 17
Compound: NiAgOs2O
Source: the Alexandria database
Functional: PBEsol
Structure: optimized geometry

Cell and atoms, written as extended XYZ:
```
5
Lattice="-0.2583 0.9286 -4.2896 -0.1637 -4.2961 -0.9202 -4.6318 0.1115 0.3030" Properties=species:S:1:pos:R:3 pbc="T T T"
Ni 0.0000 0.0000 0.0000
Os -0.0818 -2.1481 -0.4601
Os -0.1291 0.4643 -2.1448
O -2.5269 -1.6280 -2.4534
Ag -2.3159 0.0558 0.1515
```

The calculation puts the uncorrected formation energy at 2362 meV/atom.

***

# 18
Compound: NiAgSn2O
Source: the Alexandria database
Functional: PBEsol
Structure: optimized geometry

Cell and atoms, written as extended XYZ:
```
5
Lattice="4.6787 0.0000 0.0000 0.0000 4.6787 0.0000 0.0000 0.0000 4.7094" Properties=species:S:1:pos:R:3 pbc="T T T"
O 2.3394 2.3394 2.3547
Ni 0.0000 0.0000 0.0000
Sn 0.0000 2.3394 0.0000
Sn 2.3394 0.0000 0.0000
Ag 0.0000 0.0000 2.3547
```

The calculation puts the uncorrected formation energy at 439 meV/atom.

***

# 19
Compound: NiAgOs
Source: the Alexandria database
Functional: PBEsol
Structure: optimized geometry

Cell and atoms, written as extended XYZ:
```
3
Lattice="-2.1327 -0.8529 -1.0942 2.3409 -1.8333 -3.1335 -0.9435 -2.2299 3.5773" Properties=species:S:1:pos:R:3 pbc="T T T"
Ag -1.7981 -0.7191 -0.9225
Ni -1.6003 -2.7982 0.4417
Os 0.5304 -2.2517 -1.2638
```

The relative energy among the computed polymorphs is 175.8 meV/atom. As for the formation energy: 0.670 eV/atom.

***

# 20
Compound: NiAgOs
Source: the Alexandria database
Functional: PBEsol
Structure: optimized geometry

Cell and atoms, written as extended XYZ:
```
3
Lattice="2.6346 0.0004 0.0000 -1.2180 2.3362 0.0000 -0.7083 -1.1683 6.7945" Properties=species:S:1:pos:R:3 pbc="T T T"
Ag 0.0000 0.0000 0.0896
Ni 0.7083 1.1683 2.3343
Os 0.0000 0.0000 4.3707
```

The relative energy among the computed polymorphs is 0.0 meV/atom. As for the formation energy: 0.494 eV/atom.

***

# 21
Compound: Ni2AgP
Source: the Alexandria database
Functional: PBEsol
Structure: optimized geometry

Cell and atoms, written as extended XYZ:
```
4
Lattice="-0.1577 -3.3206 -1.3079 1.1565 -1.2861 3.1258 -4.1306 1.9964 0.3083" Properties=species:S:1:pos:R:3 pbc="T T T"
Ag -1.2373 -0.7965 2.1715
Ni 0.0000 0.0000 0.0000
Ni -1.8945 -1.8138 -0.0453
P 0.4994 -2.3033 0.9090
```

As for the formation energy: 0.111 eV/atom.

***

# 22
Compound: Ni2AgP
Source: the Alexandria database
Functional: PBEsol
Structure: optimized geometry

Cell and atoms, written as extended XYZ:
```
4
Lattice="2.9233 0.0000 0.0000 -1.4617 3.9051 0.1809 0.0000 -0.6699 4.6482" Properties=species:S:1:pos:R:3 pbc="T T T"
Ag 1.4617 1.5998 1.1180
Ni 1.4617 3.1494 4.5644
Ni 0.0000 1.5246 3.3666
P 1.4617 -0.1384 2.9332
```

As for the formation energy: -0.066 eV/atom.

***

# 23
Compound: Ni2AgP
Source: the Alexandria database
Functional: PBEsol
Structure: optimized geometry

Cell and atoms, written as extended XYZ:
```
4
Lattice="2.7914 0.0000 -0.0118 0.0000 3.9513 0.0000 -1.3750 0.0000 4.6730" Properties=species:S:1:pos:R:3 pbc="T T T"
Ag -0.1573 1.9756 3.4592
Ni 2.6181 0.0000 0.2602
Ni 1.2269 1.9756 1.2318
P 1.2285 0.0000 2.0289
```

As for the formation energy: -0.043 eV/atom.

***

# 24
Compound: NiAgPS2
Source: the Alexandria database
Functional: PBEsol
Structure: optimized geometry

Cell and atoms, written as extended XYZ:
```
5
Lattice="4.6285 0.0000 0.0000 0.0000 4.7246 0.0000 0.0000 0.0000 4.7246" Properties=species:S:1:pos:R:3 pbc="T T T"
Ni 2.3142 2.3623 2.3623
S 0.0000 0.0000 2.3623
S 0.0000 2.3623 0.0000
Ag 0.0000 0.0000 0.0000
P 2.3142 0.0000 0.0000
```

The calculation puts the uncorrected formation energy at 1357 meV/atom.

***

# 25
Compound: Ni2AgPb
Source: the Alexandria database
Functional: PBEsol
Structure: optimized geometry

Cell and atoms, written as extended XYZ:
```
4
Lattice="3.8123 0.0000 0.0000 0.0000 3.8123 0.0000 -1.9062 -1.9062 4.1332" Properties=species:S:1:pos:R:3 pbc="T T T"
Ag 0.0000 1.9062 2.0666
Ni 0.0000 0.0000 0.0000
Ni 1.9062 0.0000 2.0666
Pb 1.9062 1.9062 0.0000
```

The relative energy among the computed polymorphs is 88.0 meV/atom. As for the formation energy: 0.267 eV/atom.

***

# 26
Compound: Ni2AgPb
Source: the Alexandria database
Functional: PBEsol
Structure: optimized geometry

Cell and atoms, written as extended XYZ:
```
4
Lattice="-1.0449 -2.7798 1.3301 -0.7695 -1.1247 -2.9549 5.2342 -2.2161 -0.5196" Properties=species:S:1:pos:R:3 pbc="T T T"
Ag 1.7099 -3.0603 -1.0722
Ni 3.8795 -1.6425 -0.3851
Ni 1.3547 -0.5736 -0.1345
Pb -0.9072 -1.9522 -0.8124
```

The relative energy among the computed polymorphs is 86.7 meV/atom. As for the formation energy: 0.265 eV/atom.